Density functional theory data (GGA-PBE) for an optimized crystal structure of La3BeMo.

Summary:
energy relative to the lowest polymorph listed for this composition = 0 meV/atom
ΔE_f = 14.1 kcal/mol of atoms
symmetry = Pm-3m, No. 221

a = 5.4558 Å, b = 5.4558 Å, c = 5.4558 Å
α = 90.00°, β = 90.00°, γ = 90.00°
Sites, in units of the cell vectors:
La 0.0000 0.5000 0.0000
La 0.5000 0.0000 0.0000
La 0.0000 0.0000 0.5000
Mo 0.0000 0.0000 0.0000
Be 0.5000 0.5000 0.5000